Entry 1:
Here is Cd2SnHg3Pb3 after structural relaxation from the Alexandria database. Energies are from PBE.

The structure in CIF format:
```
data_Cd2SnHg3Pb3
_space_group_name_H-M_alt 'P -6 2 m'
_space_group_IT_number 189
_space_group_name_Hall 'P -6 -2'
_cell_length_a 9.0836
_cell_length_b 9.0836
_cell_length_c 3.5011
_cell_angle_alpha 90.00
_cell_angle_beta 90.00
_cell_angle_gamma 120.00
loop_
_atom_site_label
_atom_site_type_symbol
_atom_site_fract_x
_atom_site_fract_y
_atom_site_fract_z
Cd1 Cd 0.3333 0.6667 0.0000
Sn1 Sn 0.0000 0.0000 0.5000
Hg1 Hg 0.0000 0.3678 0.5000
Pb1 Pb 0.0000 0.6927 0.0000
```

Results
formation energy from the elements = 0.06 eV per atom
theoretical density = 10.4 Mg/m³


Entry 2:
Here is Nd4Sm2Dy2Ho after structural relaxation from the Alexandria database. Energies are from PBE.

The structure in CIF format:
```
data_Nd4Sm2Dy2Ho
_space_group_name_H-M_alt 'C 1 2/m 1'
_space_group_IT_number 12
_cell_length_a 15.389
_cell_length_b 5.129
_cell_length_c 8.076
_cell_angle_alpha 90.00
_cell_angle_beta 108.57
_cell_angle_gamma 90.00
loop_
_space_group_symop_operation_xyz
'x,y,z'
'-x,-y,-z'
'-x,y,-z'
'x,-y,z'
'x+1/2,y+1/2,z'
'-x+1/2,-y+1/2,-z'
'-x+1/2,y+1/2,-z'
'x+1/2,-y+1/2,z'
loop_
_atom_site_label
_atom_site_type_symbol
_atom_site_fract_x
_atom_site_fract_y
_atom_site_fract_z
Nd1 Nd 0.055 0.000 0.331
Nd2 Nd 0.222 0.500 0.331
Sm1 Sm 0.112 0.500 0.670
Dy1 Dy 0.167 0.000 0.000
Ho1 Ho 0.000 0.500 0.000
```

Results
formation energy from the elements = 0.02 eV per atom
theoretical density = 7.5 Mg/m³


Entry 3:
Here is NaLa3Os after structural relaxation from the Alexandria database. Energies are from PBE.

The structure in CIF format:
```
data_NaLa3Os
_space_group_name_H-M_alt 'P m m n'
_space_group_IT_number 59
_cell_length_a 4.065
_cell_length_b 9.691
_cell_length_c 9.291
_cell_angle_alpha 90.00
_cell_angle_beta 90.00
_cell_angle_gamma 90.00
loop_
_space_group_symop_operation_xyz
'x,y,z'
'-x,-y,-z'
'-x+1/2,-y+1/2,z'
'x+1/2,y+1/2,-z'
'x+1/2,-y,-z'
'-x+1/2,y,z'
'-x,y+1/2,-z'
'x,-y+1/2,z'
loop_
_atom_site_label
_atom_site_type_symbol
_atom_site_fract_x
_atom_site_fract_y
_atom_site_fract_z
Na1 Na 0.250 0.250 0.053
La1 La 0.250 0.573 0.646
La2 La 0.250 0.750 0.286
Os1 Os 0.250 0.250 0.513
```

Results
formation energy from the elements = 0.00 eV per atom
theoretical density = 5.7 Mg/m³


Entry 4:
Here is Li3Ce3Ga8 after structural relaxation from the Alexandria database. Energies are from PBE.

The structure in CIF format:
```
data_Li3Ce3Ga8
_space_group_name_H-M_alt 'I m m m'
_space_group_IT_number 71
_space_group_name_Hall '-I 2 2'
_cell_length_a 4.391
_cell_length_b 9.303
_cell_length_c 13.502
_cell_angle_alpha 90.00
_cell_angle_beta 90.00
_cell_angle_gamma 90.00
loop_
_atom_site_label
_atom_site_type_symbol
_atom_site_fract_x
_atom_site_fract_y
_atom_site_fract_z
Li1 Li 0.000 0.000 0.000
Li2 Li 0.000 0.305 0.500
Ce1 Ce 0.000 0.500 0.000
Ce2 Ce 0.000 0.500 0.295
Ga1 Ga 0.000 0.137 0.343
Ga2 Ga 0.000 0.214 0.141
```

Results
formation energy from the elements = -0.47 eV per atom
theoretical density = 6.0 Mg/m³


Entry 5:
Here is Na2Ta2Se after structural relaxation from the Alexandria database. Energies are from PBE.

The structure in CIF format:
```
data_Na2Ta2Se
_space_group_name_H-M_alt 'I 4/m m m'
_space_group_IT_number 139
_space_group_name_Hall '-I 4 2'
_cell_length_a 3.512
_cell_length_b 3.512
_cell_length_c 16.543
_cell_angle_alpha 90.00
_cell_angle_beta 90.00
_cell_angle_gamma 90.00
loop_
_atom_site_label
_atom_site_type_symbol
_atom_site_fract_x
_atom_site_fract_y
_atom_site_fract_z
Na1 Na 0.000 0.500 0.250
Ta1 Ta 0.000 0.000 0.079
Se1 Se 0.000 0.000 0.500
```

Results
raw formation energy = 870 meV per atom
theoretical density = 7.9 Mg/m³


Entry 6:
Here is AgTeRh2 after structural relaxation from the Alexandria database. Energies are from PBE.

The structure in CIF format:
```
data_AgTeRh2
_space_group_name_H-M_alt 'C 1 m 1'
_space_group_IT_number 8
_cell_length_a 9.600
_cell_length_b 3.299
_cell_length_c 4.593
_cell_angle_alpha 90.00
_cell_angle_beta 106.15
_cell_angle_gamma 90.00
loop_
_space_group_symop_operation_xyz
'x,y,z'
'x,-y,z'
'x+1/2,y+1/2,z'
'x+1/2,-y+1/2,z'
loop_
_atom_site_label
_atom_site_type_symbol
_atom_site_fract_x
_atom_site_fract_y
_atom_site_fract_z
Ag1 Ag 0.000 0.000 0.000
Te1 Te 0.243 0.000 0.621
Rh1 Rh 0.016 0.500 0.512
Rh2 Rh 0.249 0.500 0.177
```

Results
raw formation energy = 116 meV per atom
theoretical density = 10.5 Mg/m³


Entry 7:
Here is Cu10PPd6 after structural relaxation from the Alexandria database. Energies are from PBE.

The structure in CIF format:
```
data_Cu10PPd6
_space_group_name_H-M_alt 'P -3 1 m'
_space_group_IT_number 162
_space_group_name_Hall '-P 3 2'
_cell_length_a 7.4687
_cell_length_b 7.4687
_cell_length_c 4.8968
_cell_angle_alpha 90.00
_cell_angle_beta 90.00
_cell_angle_gamma 120.00
loop_
_atom_site_label
_atom_site_type_symbol
_atom_site_fract_x
_atom_site_fract_y
_atom_site_fract_z
Cu1 Cu 0.0000 0.2550 0.2679
Cu2 Cu 0.3333 0.6667 0.0000
Cu3 Cu 0.3333 0.6667 0.5000
P1 P 0.0000 0.0000 0.0000
Pd1 Pd 0.0000 0.3941 0.7541
```

Results
formation energy from the elements = -0.01 eV per atom
theoretical density = 9.2 Mg/m³


Entry 8:
Here is Sr3Al2Sb4 after structural relaxation from the Alexandria database. Energies are from PBE.

The structure in CIF format:
```
data_Sr3Al2Sb4
_space_group_name_H-M_alt 'C 1 2/m 1'
_space_group_IT_number 12
_cell_length_a 15.058
_cell_length_b 4.505
_cell_length_c 10.485
_cell_angle_alpha 90.00
_cell_angle_beta 124.90
_cell_angle_gamma 90.00
loop_
_space_group_symop_operation_xyz
'x,y,z'
'-x,-y,-z'
'-x,y,-z'
'x,-y,z'
'x+1/2,y+1/2,z'
'-x+1/2,-y+1/2,-z'
'-x+1/2,y+1/2,-z'
'x+1/2,-y+1/2,z'
loop_
_atom_site_label
_atom_site_type_symbol
_atom_site_fract_x
_atom_site_fract_y
_atom_site_fract_z
Sr1 Sr 0.000 0.000 0.000
Sr2 Sr 0.121 0.500 0.734
Al1 Al 0.185 0.500 0.345
Sb1 Sb 0.099 0.000 0.403
Sb2 Sb 0.187 0.500 0.095
```

Results
raw formation energy = -671 meV per atom
theoretical density = 4.6 Mg/m³


Entry 9:
Here is Zr3CoPd after structural relaxation from the Alexandria database. Energies are from PBE.

The structure in CIF format:
```
data_Zr3CoPd
_space_group_name_H-M_alt 'C 1 2/m 1'
_space_group_IT_number 12
_cell_length_a 9.241
_cell_length_b 6.113
_cell_length_c 7.588
_cell_angle_alpha 90.00
_cell_angle_beta 115.31
_cell_angle_gamma 90.00
loop_
_space_group_symop_operation_xyz
'x,y,z'
'-x,-y,-z'
'-x,y,-z'
'x,-y,z'
'x+1/2,y+1/2,z'
'-x+1/2,-y+1/2,-z'
'-x+1/2,y+1/2,-z'
'x+1/2,-y+1/2,z'
loop_
_atom_site_label
_atom_site_type_symbol
_atom_site_fract_x
_atom_site_fract_y
_atom_site_fract_z
Zr1 Zr 0.020 0.000 0.231
Zr2 Zr 0.194 0.500 0.876
Zr3 Zr 0.205 0.500 0.316
Co1 Co 0.000 0.301 0.000
Pd1 Pd 0.000 0.283 0.500
```

Results
formation energy from the elements = -0.33 eV per atom
theoretical density = 7.5 Mg/m³


Entry 10:
Here is Tm2Ga6Co after structural relaxation from the Alexandria database. Energies are from PBE.

The structure in CIF format:
```
data_Tm2Ga6Co
_space_group_name_H-M_alt 'P -3 m 1'
_space_group_IT_number 164
_space_group_name_Hall '-P 3 2"'
_cell_length_a 5.7536
_cell_length_b 5.7536
_cell_length_c 5.5751
_cell_angle_alpha 90.00
_cell_angle_beta 90.00
_cell_angle_gamma 120.00
loop_
_atom_site_label
_atom_site_type_symbol
_atom_site_fract_x
_atom_site_fract_y
_atom_site_fract_z
Tm1 Tm 0.3333 0.6667 0.1563
Ga1 Ga 0.1728 0.3455 0.6902
Co1 Co 0.0000 0.0000 0.0000
```

Results
formation energy from the elements = -0.47 eV per atom
theoretical density = 8.5 Mg/m³


Taking the records one at a time from the top gives total energy values of -1.9212, -4.6801, -5.4693, -3.8772, -5.0958, -5.0576, -4.5702, -3.8950, -7.9210, -4.2677 eV per atom.